Version w
Below is a geometry-optimized Tb7Dy4In structure, with properties calculated at the PBE-GGA level.

## Properties
Crystal system: triclinic

```
data_Tb7Dy4In
_symmetry_space_group_name_H-M 'P -1'
_symmetry_Int_Tables_number 2
_symmetry_space_group_name_Hall '-P 1'
_cell_length_a 6.5176
_cell_length_b 6.6932
_cell_length_c 8.9154
_cell_angle_alpha 84.10
_cell_angle_beta 77.19
_cell_angle_gamma 81.61
loop_
_atom_site_label
_atom_site_fract_x
_atom_site_fract_y
_atom_site_fract_z
Tb1 0.0000 0.0000 0.0000
Tb2 0.1534 0.6083 0.3168
Tb3 0.1930 0.0998 0.3897
Tb4 0.4638 0.2533 0.0460
Dy1 0.3069 0.7007 0.6574
Dy2 0.3706 0.1929 0.7127
In1 0.0000 0.5000 0.0000
```

Version x
Below is a geometry-optimized Tb7Dy4In structure, with properties calculated at the PBE-GGA level.

## Properties
Crystal system: monoclinic

```
data_Tb7Dy4In
_symmetry_space_group_name_H-M 'C 1 2/m 1'
_symmetry_Int_Tables_number 12
_symmetry_space_group_name_Hall '-C 2y'
_cell_length_a 12.0858
_cell_length_b 5.8733
_cell_length_c 12.3904
_cell_angle_alpha 90.00
_cell_angle_beta 115.68
_cell_angle_gamma 90.00
loop_
_atom_site_label
_atom_site_fract_x
_atom_site_fract_y
_atom_site_fract_z
Tb1 0.0000 0.0000 0.0000
Tb2 0.0956 0.5000 0.2771
Tb3 0.1314 0.0000 0.4752
Tb4 0.2013 0.5000 0.9205
Dy1 0.1352 0.0000 0.7700
Dy2 0.1485 0.5000 0.6237
In1 0.0000 0.5000 0.0000
```

Bottom line: version w, by a margin of 208 meV/atom.